1.
The following is a PBE calculation of crystalline LiMg5Au3 at its relaxed geometry, from the Alexandria database.

Summary:
Crystal system   hexagonal
ΔE_f   -0.508 eV/atom

abc: 8.1475 8.1475 5.8557
angles: 90.00 90.00 120.00
Space group P6_3/mcm (No. 193)
Asymmetric unit:
Li 0.0000 0.0000 0.0000
Mg 0.0000 0.3133 0.2500
Mg 0.3333 0.6667 0.0000
Au 0.0000 0.3505 0.7500

2.
The following is a PBE calculation of crystalline Ac3Mg7Ir4 at its relaxed geometry, from the Alexandria database.

Summary:
Crystal system   monoclinic
ΔE_f   -0.441 eV/atom

abc: 16.7590 4.3301 10.8045
angles: 90.00 125.28 90.00
Space group C2/m (No. 12)
Asymmetric unit:
Ac 0.0000 0.0000 0.0000
Ac 0.1985 0.5000 0.7173
Mg 0.0000 0.0000 0.5000
Mg 0.0144 0.5000 0.2863
Mg 0.1701 0.0000 0.4268
Mg 0.1800 0.5000 0.0073
Ir 0.1052 0.0000 0.8070
Ir 0.1654 0.5000 0.2612

3.
The following is a PBE calculation of crystalline K3SeF at its relaxed geometry, from the Alexandria database.

Summary:
Crystal system   cubic
Polymorph energy (0 for the lowest one)   0 meV per atom

abc: 5.1722 5.1722 5.1722
angles: 90.00 90.00 90.00
Space group Pm-3m (No. 221)
Asymmetric unit:
K 0.0000 0.0000 0.5000
Se 0.5000 0.5000 0.5000
F 0.0000 0.0000 0.0000

4.
The following is a PBE calculation of crystalline Dy2HoTm5Th at its relaxed geometry, from the Alexandria database.

Summary:
Crystal system   tetragonal
ΔE_f   0.321 eV/atom

abc: 8.7176 8.7176 14.7617
angles: 90.00 90.00 90.00
Space group I4/mcm (No. 140)
Asymmetric unit:
Dy 0.1138 0.3862 0.0000
Ho 0.0000 0.5000 0.2500
Tm 0.0000 0.0000 0.0000
Tm 0.2093 0.2907 0.3641
Th 0.0000 0.0000 0.2500

5.
The following is a PBE calculation of crystalline PuTlBi2 at its relaxed geometry, from the Alexandria database.

Summary:
Crystal system   tetragonal
ΔE_f   -0.218 eV/atom
Polymorph energy (0 for the lowest one)   0 meV per atom

abc: 4.9561 4.9561 4.7803
angles: 90.00 90.00 90.00
Space group P4/mmm (No. 123)
Asymmetric unit:
Pu 0.0000 0.0000 0.0000
Tl 0.5000 0.5000 0.0000
Bi 0.0000 0.5000 0.5000

6.
The following is a PBE calculation of crystalline BeIr2 at its relaxed geometry, from the Alexandria database.

Summary:
Crystal system   orthorhombic
ΔE_f   -0.082 eV/atom

abc: 2.7185 12.7105 4.5052
angles: 90.00 90.00 90.00
Space group Cmcm (No. 63)
Asymmetric unit:
Be 0.0000 0.1102 0.2500
Ir 0.0000 0.2316 0.7500
Ir 0.0000 0.4531 0.2500